(1)
The following is a GGA-PBE calculation of a relaxed LiTe2Cl crystal, from the Alexandria database.

a b c (Å): 3.9661 3.9661 8.9130
angles (deg): 90.00 90.00 90.00
Space group P4mm (No. 99)
One atom of each set of equivalent atoms:
Li 0.0000 0.0000 0.0000 x1
Te 0.0000 0.0000 0.6356 x1
Te 0.5000 0.5000 0.5288 x1
Cl 0.5000 0.5000 0.0105 x1

Calculated values
* raw formation energy: -0.68 eV per atom

(2)
The following is a GGA-PBE calculation of a relaxed Ca3Ag5I12 crystal, from the Alexandria database.

a b c (Å): 18.1115 18.1115 18.1115
angles (deg): 90.00 90.00 90.00
Space group Ia-3d (No. 230)
One atom of each set of equivalent atoms:
Ca 0.0000 0.2500 0.1250 x24
Ag 0.0000 0.0000 0.0000 x16
Ag 0.0000 0.2500 0.3750 x24
I 0.0238 0.0645 0.6519 x96

Calculated values
* raw formation energy: -0.74 eV per atom

(3)
The following is a GGA-PBE calculation of a relaxed MoRu4Cl crystal, from the Alexandria database.

a b c (Å): 7.2642 7.2642 7.2642
angles (deg): 90.00 90.00 90.00
Space group F-43m (No. 216)
One atom of each set of equivalent atoms:
Mo 0.0000 0.0000 0.0000 x4
Ru 0.1251 0.1251 0.3749 x16
Cl 0.2500 0.2500 0.7500 x4

Calculated values
* raw formation energy: 0.99 eV per atom

(4)
The following is a GGA-PBE calculation of a relaxed K2CrBi2 crystal, from the Alexandria database.

a b c (Å): 7.5700 7.5700 5.9236
angles (deg): 90.00 90.00 90.00
Space group P4/mbm (No. 127)
One atom of each set of equivalent atoms:
K 0.1661 0.3339 0.0000 x4
Cr 0.0000 0.0000 0.5000 x2
Bi 0.1469 0.6469 0.5000 x4

Calculated values
* DFT total energy: -39.33 eV/cell

(5)
The following is a GGA-PBE calculation of a relaxed Er3Zr2Hg2 crystal, from the Alexandria database.

a b c (Å): 4.8102 22.3851 3.3031
angles (deg): 90.00 90.00 90.00
Space group Cmmm (No. 65)
One atom of each set of equivalent atoms:
Er 0.0000 0.0000 0.0000 x2
Er 0.0000 0.1482 0.0000 x4
Zr 0.0000 0.2770 0.5000 x4
Hg 0.0000 0.4247 0.5000 x4

Calculated values
* DFT total energy: -64.57 eV/cell

(6)
The following is a GGA-PBE calculation of a relaxed Ba2ErNbS6 crystal, from the Alexandria database.

a b c (Å): 7.0275 7.0275 37.3773
angles (deg): 90.00 90.00 120.00
Space group R-3m (No. 166, hexagonal axes)
One atom of each set of equivalent atoms:
Ba 0.0000 0.0000 0.1348 x6
Ba 0.0000 0.0000 0.3003 x6
Er 0.0000 0.0000 0.4139 x6
Nb 0.0000 0.0000 0.0000 x3
Nb 0.0000 0.0000 0.5000 x3
S 0.0009 0.5005 0.1277 x18
S 0.0082 0.5041 0.7048 x18

Calculated values
* raw formation energy: -1.63 eV per atom

(7)
The following is a GGA-PBE calculation of a relaxed YCr2P crystal, from the Alexandria database.

a b c (Å): 3.3587 3.8572 5.7561
angles (deg): 90.00 105.59 90.00
Space group Pm (No. 6)
One atom of each set of equivalent atoms:
Y 0.0000 0.0000 0.0000 x1
Cr 0.2833 0.0000 0.5203 x1
Cr 0.7560 0.5000 0.4701 x1
P 0.4025 0.5000 0.7888 x1

Calculated values
* DFT total energy: -32.14 eV/cell

(8)
The following is a GGA-PBE calculation of a relaxed Tl3In3Pb crystal, from the Alexandria database.

a b c (Å): 9.6942 9.6942 8.0541
angles (deg): 90.00 90.00 120.00
Space group R3m (No. 160, hexagonal axes)
One atom of each set of equivalent atoms:
Tl 0.2139 0.4279 0.0000 x9
In 0.1860 0.3721 0.6031 x9
Pb 0.0000 0.0000 0.6848 x3

Calculated values
* DFT total energy: -55.31 eV/cell

(9)
The following is a GGA-PBE calculation of a relaxed CrBr2N2 crystal, from the Alexandria database.

a b c (Å): 5.3325 5.3325 8.1744
angles (deg): 90.00 90.00 90.00
Space group P4/mbm (No. 127)
One atom of each set of equivalent atoms:
Cr 0.0000 0.0000 0.0000 x2
Br 0.1920 0.3080 0.5000 x4
N 0.2501 0.2499 0.0000 x4

Calculated values
* raw formation energy: 0.84 eV per atom

(10)
The following is a GGA-PBE calculation of a relaxed Sr3AlCd crystal, from the Alexandria database.

a b c (Å): 5.7475 22.1101 5.7445
angles (deg): 90.00 90.00 90.00
Space group Cmcm (No. 63)
One atom of each set of equivalent atoms:
Sr 0.0000 0.0739 0.2500 x4
Sr 0.0000 0.2494 0.2500 x4
Sr 0.0000 0.4248 0.2500 x4
Al 0.0000 0.1587 0.7500 x4
Cd 0.0000 0.3389 0.7500 x4

Calculated values
* DFT total energy: -42.55 eV/cell

(11)
The following is a GGA-PBE calculation of a relaxed Ce3SiRh crystal, from the Alexandria database.

a b c (Å): 7.7383 3.8742 8.2579
angles (deg): 90.00 100.39 90.00
Space group P2_1/m (No. 11)
One atom of each set of equivalent atoms:
Ce 0.0958 0.2500 0.2266 x2
Ce 0.3012 0.2500 0.9587 x2
Ce 0.3392 0.7500 0.5891 x2
Si 0.3972 0.7500 0.2308 x2
Rh 0.0813 0.2500 0.6152 x2

Calculated values
* raw formation energy: -0.52 eV per atom

(12)
The following is a GGA-PBE calculation of a relaxed LaHgMo2 crystal, from the Alexandria database.

a b c (Å): 4.2980 4.2980 9.0551
angles (deg): 90.00 90.00 90.00
Space group I4/mmm (No. 139)
One atom of each set of equivalent atoms:
La 0.0000 0.0000 0.0000 x2
Hg 0.0000 0.0000 0.5000 x2
Mo 0.0000 0.5000 0.2500 x4

Calculated values
* DFT total energy: -47.65 eV/cell

(13)
The following is a GGA-PBE calculation of a relaxed AsIr2Cl crystal, from the Alexandria database.

a b c (Å): 5.7081 8.7650 2.9129
angles (deg): 90.00 119.47 90.00
Space group C2/m (No. 12)
One atom of each set of equivalent atoms:
As 0.0000 0.0000 0.0000 x2
Ir 0.2500 0.2500 0.0000 x4
Cl 0.0000 0.5000 0.0000 x2

Calculated values
* raw formation energy: 0.66 eV per atom

(14)
The following is a GGA-PBE calculation of a relaxed In2MoRh crystal, from the Alexandria database.

a b c (Å): 10.4700 2.9624 4.9528
angles (deg): 90.00 109.68 90.00
Space group Cm (No. 8)
One atom of each set of equivalent atoms:
In 0.0000 0.0000 0.0000 x2
In 0.2186 0.0000 0.6092 x2
Mo 0.4645 0.0000 0.4827 x2
Rh 0.2519 0.5000 0.1205 x2

Calculated values
* DFT total energy: -46.59 eV/cell

(15)
The following is a GGA-PBE calculation of a relaxed ReHPdRh2 crystal, from the Alexandria database.

a b c (Å): 3.9301 3.9301 3.9356
angles (deg): 90.00 90.00 90.00
Space group P4/mmm (No. 123)
One atom of each set of equivalent atoms:
Re 0.0000 0.0000 0.0000 x1
H 0.0000 0.0000 0.5000 x1
Pd 0.5000 0.5000 0.0000 x1
Rh 0.0000 0.5000 0.5000 x2

Calculated values
* DFT total energy: -34.78 eV/cell